1.
Below is Ho3Tm7Zr after structural relaxation, with properties calculated at the PBE-GGA level.

The structure in extended XYZ format:
```
11
Lattice="-6.851 2.606 -4.085 -3.527 -0.005 5.912 3.351 5.669 -2.004" Properties=species:S:1:pos:R:3 pbc="T T T"
Tm -0.313 2.251 -0.185
Tm -5.449 2.115 2.754
Tm 1.329 5.029 -1.167
Tm -2.053 2.198 2.785
Tm -0.399 5.027 1.730
Tm -3.694 2.117 -0.189
Tm -3.781 4.936 1.756
Ho -3.740 7.659 -2.225
Ho -5.388 4.871 -1.240
Ho -3.654 4.874 -4.147
Zr -2.000 4.941 -1.189
```

Output
- Calculated formation energy: 2.20 eV per formula unit



2.
Below is CuHgPb2 after structural relaxation, with properties calculated at the PBE-GGA level.

The structure in extended XYZ format:
```
4
Lattice="3.786 0.000 0.000 0.000 5.156 0.000 0.000 0.000 5.156" Properties=species:S:1:pos:R:3 pbc="T T T"
Pb 0.000 0.000 0.000
Pb 0.000 2.578 2.578
Cu 1.893 2.578 0.000
Hg 1.893 0.000 2.578
```

Output
- Calculated formation energy: 0.96 eV per formula unit



3.
Below is CaAs3Cl after structural relaxation, with properties calculated at the PBE-GGA level.

The structure in extended XYZ format:
```
5
Lattice="4.973 0.000 0.000 0.000 4.973 0.000 0.000 0.000 4.973" Properties=species:S:1:pos:R:3 pbc="T T T"
Ca 2.487 2.487 2.487
As 0.000 0.000 2.487
As 0.000 2.487 0.000
As 2.487 0.000 0.000
Cl 0.000 0.000 0.000
```

Output
- Energy above the most stable polymorph in this dataset: 0.000 eV per atom
- Raw formation energy: 0.32 eV/atom



4.
Below is CaCrP2Pd after structural relaxation, with properties calculated at the PBE-GGA level.

The structure in extended XYZ format:
```
5
Lattice="4.995 0.000 0.000 0.000 4.361 0.000 0.000 0.000 4.995" Properties=species:S:1:pos:R:3 pbc="T T T"
Ca 0.000 0.000 0.000
Cr 0.000 2.181 0.000
P 2.497 0.000 0.000
P 0.000 0.000 2.497
Pd 2.497 2.181 2.497
```

Output
- Calculated formation energy: 9.01 eV per formula unit



5.
Below is BaPr2Np3N8 after structural relaxation, with properties calculated at the PBE-GGA level.

The structure in extended XYZ format:
```
14
Lattice="-4.461 5.402 0.142 -6.038 -0.348 -3.539 -6.137 -0.618 3.595" Properties=species:S:1:pos:R:3 pbc="T T T"
N -4.012 1.237 -0.213
N -7.104 1.400 -1.893
N -10.236 0.625 0.453
N -9.537 3.175 2.085
N -7.559 0.779 2.022
N -8.942 3.627 -1.834
N -6.453 3.771 -0.375
N -12.690 3.142 0.531
Np -7.480 5.208 -1.625
Np -5.269 2.531 -1.695
Np -8.262 2.359 -3.449
Pr -5.215 0.187 1.942
Pr -8.320 2.217 0.102
Ba -11.474 4.203 -1.648
```

Output
- Raw formation energy: -1.10 eV/atom



6.
Below is Hf3TiPb after structural relaxation, with properties calculated at the PBE-GGA level.

The structure in extended XYZ format:
```
5
Lattice="5.275 0.000 0.000 0.000 5.275 0.000 0.000 0.000 5.275" Properties=species:S:1:pos:R:3 pbc="T T T"
Pb 0.000 0.000 0.000
Hf 0.000 0.000 2.638
Hf 0.000 2.638 0.000
Hf 2.638 0.000 0.000
Ti 2.638 2.638 2.638
```

Output
- Energy above the most stable polymorph in this dataset: 1.494 eV per atom
- Calculated formation energy: 7.68 eV per formula unit



7.
Below is Pm2TlTcO8 after structural relaxation, with properties calculated at the PBE-GGA level.

The structure in extended XYZ format:
```
12
Lattice="4.845 -0.181 0.094 -0.170 4.873 0.093 0.148 0.152 7.386" Properties=species:S:1:pos:R:3 pbc="T T T"
Tl 0.074 0.076 3.693
O 3.743 0.549 1.482
O 3.337 3.355 3.967
O 4.277 1.098 6.100
O 1.080 4.295 6.090
O 0.546 3.746 1.472
O 1.486 1.488 3.605
O 3.506 3.548 7.202
O 1.318 1.296 0.371
Pm 2.205 2.228 5.703
Pm 2.619 2.615 1.869
Tc 0.000 0.000 0.000
```

Output
- Raw formation energy: -1.99 eV/atom



8.
Below is ScCdGe after structural relaxation, with properties calculated at the PBE-GGA level.

The structure in extended XYZ format:
```
12
Lattice="-6.569 2.735 2.491 -1.212 -0.239 -2.934 -1.996 -10.213 1.658" Properties=species:S:1:pos:R:3 pbc="T T T"
Ge -7.101 -3.733 3.238
Ge -6.709 1.253 0.942
Ge -6.404 -7.816 1.556
Ge -4.799 -2.590 2.194
Sc -7.643 -6.459 3.685
Sc -7.251 -1.472 1.388
Sc -4.139 0.176 1.696
Sc -5.744 -5.050 1.058
Cd -4.189 -9.635 0.789
Cd -3.331 -7.066 1.953
Cd -2.939 -2.079 -0.343
Cd -2.585 -4.409 1.428
```

Output
- Calculated formation energy: -1.04 eV per formula unit



Question: What is the formula in the eighth record?
Answer: ScCdGe